# 1
Compound: CaZrIr
Source: Alexandria
Functional: GGA-PBE
Structure: relaxed

a = 4.6109 Å, b = 4.6109 Å, c = 7.0775 Å
α = 90.00°, β = 90.00°, γ = 90.00°
Closest atoms and distances in Å follow each position.
Sites, in units of the cell vectors:
Ca  0.2500  0.2500  0.1311  1 Ir 3.09
Ca  0.7500  0.7500  0.8689  1 Ir 3.09
Zr  0.2500  0.7500  0.5000  4 Ir 2.68
Zr  0.7500  0.2500  0.5000  4 Ir 2.68
Ir  0.2500  0.2500  0.6943  4 Zr 2.68
Ir  0.7500  0.7500  0.3057  4 Zr 2.68

**Electronic total energy**: -0.2587 Ha/atom
**N(E_F)**: 6.71 states/eV per cell
**E above lowest polymorph**: 0 meV per atom


# 2
Compound: CaZr2Ir3
Source: Alexandria
Functional: GGA-PBE
Structure: relaxed

a = 3.3730 Å, b = 3.3730 Å, c = 10.0670 Å
α = 90.00°, β = 90.00°, γ = 90.00°
Closest atoms and distances in Å follow each position.
Sites, in units of the cell vectors:
Ca  0.0000  0.0000  0.0000  8 Ir 3.10, 2 Zr 3.37, 4 Ca 3.37
Zr  0.0000  0.0000  0.3347  8 Ir 2.76-2.91
Zr  0.0000  0.0000  0.6653  8 Ir 2.76-2.91
Ir  0.5000  0.5000  0.1970  4 Zr 2.76, 1 Ir 3.05
Ir  0.5000  0.5000  0.5000  8 Zr 2.91, 2 Ir 3.05
Ir  0.5000  0.5000  0.8030  4 Zr 2.76, 1 Ir 3.05

**Electronic total energy**: -0.3053 Ha/atom
**N(E_F)**: 2.37 states/eV per cell


# 3
Compound: CaZr2Ir
Source: Alexandria
Functional: GGA-PBE
Structure: relaxed

a = 6.9726 Å, b = 6.9726 Å, c = 6.9726 Å
α = 90.00°, β = 90.00°, γ = 90.00°
Closest atoms and distances in Å follow each position.
Sites, in units of the cell vectors:
Ca  0.0000  0.0000  0.0000  4 Zr 3.02, 4 Ir 3.02
Ca  0.0000  0.5000  0.5000  4 Zr 3.02, 4 Ir 3.02
Ca  0.5000  0.0000  0.5000  4 Zr 3.02, 4 Ir 3.02
Ca  0.5000  0.5000  0.0000  4 Zr 3.02, 4 Ir 3.02
Zr  0.0000  0.0000  0.5000  4 Zr 3.02, 4 Ir 3.02
Zr  0.0000  0.5000  0.0000  4 Zr 3.02, 4 Ir 3.02
Zr  0.2500  0.2500  0.7500  4 Zr 3.02, 4 Ca 3.02
Zr  0.2500  0.7500  0.2500  4 Zr 3.02, 4 Ca 3.02
Zr  0.5000  0.0000  0.0000  4 Zr 3.02, 4 Ir 3.02
Zr  0.5000  0.5000  0.5000  4 Zr 3.02, 4 Ir 3.02
Zr  0.7500  0.2500  0.2500  4 Zr 3.02, 4 Ca 3.02
Zr  0.7500  0.7500  0.7500  4 Zr 3.02, 4 Ca 3.02
Ir  0.2500  0.2500  0.2500  4 Zr 3.02, 4 Ca 3.02
Ir  0.2500  0.7500  0.7500  4 Zr 3.02, 4 Ca 3.02
Ir  0.7500  0.2500  0.7500  4 Zr 3.02, 4 Ca 3.02
Ir  0.7500  0.7500  0.2500  4 Zr 3.02, 4 Ca 3.02

**Electronic total energy**: -0.2540 Ha/atom
**N(E_F)**: 18.00 states/eV per cell
**E above lowest polymorph**: 359 meV per atom


Quick rundown of magnetization, same order as above: 0.0000; 0.0000; 0.5210 μB per atom